Entry 1:
The following is a DFT calculation (PBE) of crystalline LaSc2P at its relaxed geometry.

Computed properties:
ΔH_f (0 K), meV/atom: -625

abc: 4.295 6.171 6.171
angles: 37.25 90.00 90.00
Atoms (fractional coordinates):
La (0.000, 0.000, 0.000)
Sc (0.000, 0.721, 0.721)
Sc (0.500, 0.279, 0.279)
P (0.500, 0.594, 0.594)



Entry 2:
The following is a DFT calculation (PBE) of crystalline LaSc2P at its relaxed geometry.

Computed properties:
ΔH_f (0 K), meV/atom: -428

abc: 6.638 6.638 6.638
angles: 101.73 101.73 126.40
Atoms (fractional coordinates):
La (0.000, 0.000, 0.000)
La (0.750, 0.250, 0.500)
Sc (0.212, 0.125, 0.587)
Sc (0.375, 0.788, 0.913)
Sc (0.538, 0.625, 0.413)
Sc (0.875, 0.462, 0.087)
P (0.250, 0.750, 0.500)
P (0.500, 0.500, 0.000)



Entry 3:
The following is a DFT calculation (PBE) of crystalline LaSc2P at its relaxed geometry.

Computed properties:
ΔH_f (0 K), meV/atom: -602

abc: 3.621 3.621 7.289
angles: 90.00 90.00 90.00
Atoms (fractional coordinates):
La (0.000, 0.000, 0.000)
Sc (0.000, 0.000, 0.407)
Sc (0.500, 0.500, 0.662)
P (0.500, 0.500, 0.286)



Entry 4:
The following is a DFT calculation (PBE) of crystalline LaSc2P at its relaxed geometry.

Computed properties:
ΔH_f (0 K), meV/atom: -540

abc: 10.041 10.041 10.041
angles: 20.35 20.35 20.35
Atoms (fractional coordinates):
La (0.000, 0.000, 0.000)
Sc (0.116, 0.116, 0.116)
Sc (0.884, 0.884, 0.884)
P (0.500, 0.500, 0.500)



Entry 5:
The following is a DFT calculation (PBE) of crystalline LaSc2P at its relaxed geometry.

Computed properties:
ΔH_f (0 K), meV/atom: -401

abc: 4.469 4.469 4.348
angles: 90.00 90.00 90.00
Atoms (fractional coordinates):
La (0.000, 0.000, 0.000)
Sc (0.000, 0.500, 0.500)
Sc (0.500, 0.000, 0.500)
P (0.500, 0.500, 0.000)



Entry 6:
The following is a DFT calculation (PBE) of crystalline LaSc2P at its relaxed geometry.

Computed properties:
ΔH_f (0 K), meV/atom: -349

abc: 5.714 5.714 5.714
angles: 135.34 135.34 65.00
Atoms (fractional coordinates):
La (0.000, 0.000, 0.000)
Sc (0.250, 0.750, 0.500)
Sc (0.750, 0.250, 0.500)
P (0.500, 0.500, 0.000)



Entry 7:
The following is a DFT calculation (PBE) of crystalline LaScP3 at its relaxed geometry.

Computed properties:
ΔH_f (0 K), meV/atom: 527
Relative energy among the computed polymorphs, eV/atom: 1.097

abc: 5.224 5.224 5.224
angles: 90.00 90.00 90.00
Atoms (fractional coordinates):
La (0.000, 0.000, 0.000)
Sc (0.500, 0.500, 0.500)
P (0.000, 0.000, 0.500)
P (0.000, 0.500, 0.000)
P (0.500, 0.000, 0.000)



Entry 8:
The following is a DFT calculation (PBE) of crystalline La2ScSiP at its relaxed geometry.

Computed properties:
Uncorrected formation energy, eV per atom: -0.5038

abc: 5.517 5.517 4.856
angles: 90.00 90.00 90.00
Atoms (fractional coordinates):
La (0.000, 0.500, 0.000)
La (0.500, 0.000, 0.000)
Sc (0.000, 0.000, 0.500)
Si (0.500, 0.500, 0.500)
P (0.000, 0.000, 0.000)



Entry 9:
The following is a DFT calculation (PBE) of crystalline LaSc2SnP at its relaxed geometry.

Computed properties:
ΔH_f (0 K), meV/atom: 276

abc: 5.254 5.254 5.998
angles: 90.00 90.00 90.00
Atoms (fractional coordinates):
La (0.000, 0.000, 0.000)
Sc (0.000, 0.500, 0.500)
Sc (0.500, 0.000, 0.500)
Sn (0.000, 0.000, 0.500)
P (0.500, 0.500, 0.000)



Entry 10:
The following is a DFT calculation (PBE) of crystalline La2ScTeP at its relaxed geometry.

Computed properties:
Uncorrected formation energy, eV per atom: 0.2412

abc: 5.980 5.980 5.253
angles: 90.00 90.00 90.00
Atoms (fractional coordinates):
La (0.000, 0.500, 0.000)
La (0.500, 0.000, 0.000)
Sc (0.000, 0.000, 0.500)
Te (0.500, 0.500, 0.000)
P (0.500, 0.500, 0.500)



Entry 11:
The following is a DFT calculation (PBE) of crystalline LaTh2ScP4 at its relaxed geometry.

Computed properties:
ΔH_f (0 K), meV/atom: -1490

abc: 7.054 4.114 7.108
angles: 90.00 109.69 90.00
Atoms (fractional coordinates):
La (0.000, 0.000, 0.000)
Th (0.500, 0.000, 0.500)
Th (0.500, 0.500, 0.000)
Sc (0.000, 0.500, 0.500)
P (0.240, 0.000, 0.735)
P (0.249, 0.500, 0.261)
P (0.751, 0.500, 0.739)
P (0.760, 0.000, 0.265)



Entry 12:
The following is a DFT calculation (PBE) of crystalline La2ScTiP at its relaxed geometry.

Computed properties:
ΔH_f (0 K), meV/atom: 383

abc: 5.332 5.332 4.883
angles: 90.00 90.00 90.00
Atoms (fractional coordinates):
La (0.000, 0.500, 0.000)
La (0.500, 0.000, 0.000)
Sc (0.000, 0.000, 0.500)
Ti (0.000, 0.000, 0.000)
P (0.500, 0.500, 0.500)



Number 3 is which compound?
LaSc2P